DFT (meta-GGA SCAN) results for Al2InSi at its PBEsol-relaxed geometry.

* raw formation energy: 307.4 meV per atom

```
data_Al2InSi
_space_group_name_H-M_alt 'I m m 2'
_space_group_IT_number 44
_cell_length_a 3.715
_cell_length_b 4.399
_cell_length_c 8.962
_cell_angle_alpha 90.00
_cell_angle_beta 90.00
_cell_angle_gamma 90.00
loop_
_space_group_symop_operation_xyz
'x,y,z'
'-x,-y,z'
'-x,y,z'
'x,-y,z'
'x+1/2,y+1/2,z+1/2'
'-x+1/2,-y+1/2,z+1/2'
'-x+1/2,y+1/2,z+1/2'
'x+1/2,-y+1/2,z+1/2'
loop_
_atom_site_label
_atom_site_type_symbol
_atom_site_fract_x
_atom_site_fract_y
_atom_site_fract_z
_atom_site_occupancy
Al1 Al 0.000 0.000 0.000 1
Al2 Al 0.000 0.500 0.235 1
In1 In 0.000 0.500 0.771 1
Si1 Si 0.000 0.000 0.523 1
```


DFT (meta-GGA SCAN) results for AlInSi2 at its PBEsol-relaxed geometry.

* offset from the most stable computed form: 0.000 eV per atom
* raw formation energy: 353.2 meV per atom

```
data_AlInSi2
_space_group_name_H-M_alt 'P m m 2'
_space_group_IT_number 25
_cell_length_a 2.777
_cell_length_b 3.597
_cell_length_c 7.399
_cell_angle_alpha 90.00
_cell_angle_beta 90.00
_cell_angle_gamma 90.00
loop_
_space_group_symop_operation_xyz
'x,y,z'
'-x,-y,z'
'-x,y,z'
'x,-y,z'
loop_
_atom_site_label
_atom_site_type_symbol
_atom_site_fract_x
_atom_site_fract_y
_atom_site_fract_z
_atom_site_occupancy
Al1 Al 0.000 0.000 0.000 1
In1 In 0.500 0.500 0.285 1
Si1 Si 0.500 0.000 0.583 1
Si2 Si 0.500 0.500 0.806 1
```